## CrCdAuF2 (PBE with a Hubbard U)

Data for a relaxed structure of CrCdAuF2.

The space group is P4/mmm (No. 123) and the conventional cell measures 4.2689, 4.2689 and 5.7773 Å, with angles of 90.00, 90.00 and 90.00 degrees. The asymmetric unit holds Cr at (0.0000, 0.0000, 0.0000), Cd at (0.5000, 0.5000, 0.5000), Au at (0.5000, 0.5000, 0.0000) and F at (0.0000, 0.5000, 0.5000).

The raw total energy is -19.8 eV for the cell shown.

## CrCdAuF6 (PBE with a Hubbard U)

Data for a relaxed structure of CrCdAuF6.

The space group is P-31c (No. 163) and the conventional cell measures 5.7597, 5.7597 and 9.7900 Å, with angles of 90.00, 90.00 and 120.00 degrees. The asymmetric unit holds Cr at (0.3333, 0.6667, 0.2500), Cd at (0.3333, 0.6667, 0.7500), Au at (0.0000, 0.0000, 0.0000) and F at (0.0413, 0.3905, 0.1404).

The raw total energy is -81.2 eV for the cell shown.